# 1
## NaVHgI6 (GGA-PBE)

Data for a relaxed structure of NaVHgI6.

Structure (POSCAR):
```
NaVHgI6
1.0
3.9139 -6.7766 0.0000
3.9139 6.7766 0.0000
-1.9586 0.0000 6.7436
Na V Hg I
1 1 1 6
direct
0.0000 0.0000 0.0000
0.3274 0.6726 0.0000
0.5785 0.4215 0.5000
0.0072 0.6640 0.7141
0.0600 0.4227 0.1785
0.2806 0.3402 0.7408
0.3360 0.9928 0.2859
0.5773 0.9400 0.8215
0.6598 0.7194 0.2592
```

Output
As for the density of states at the Fermi level: 6.0 states/eV per cell. The space group is C2 (5). Its energy relative to the elements, uncorrected is -491 meV per atom.

***

# 2
## Na2Zn2HgI6 (GGA-PBE)

Data for a relaxed structure of Na2Zn2HgI6.

Structure (POSCAR):
```
Na2Zn2HgI6
1.0
7.8578 0.0000 0.0000
-0.3223 8.4552 0.0000
-0.7427 -4.1992 7.3755
Na Zn Hg I
2 2 1 6
direct
0.2463 0.4711 0.1219
0.7537 0.5289 0.8781
0.4077 0.8758 0.0990
0.5923 0.1242 0.9010
0.0000 0.5000 0.5000
0.0883 0.8083 0.1195
0.3967 0.2591 0.7409
0.4971 0.7655 0.7623
0.5029 0.2345 0.2377
0.6033 0.7409 0.2591
0.9117 0.1917 0.8805
```

Output
As for the density of states at the Fermi level: 0.0 states/eV per cell. The space group is P-1 (2). Its energy relative to the elements, uncorrected is -738 meV per atom.

***

# 3
## NaZrHgI6 (GGA-PBE)

Data for a relaxed structure of NaZrHgI6.

Structure (POSCAR):
```
NaZrHgI6
1.0
3.8970 -6.7643 0.0000
3.8970 6.7643 0.0000
-0.0209 0.0000 7.0639
Na Zr Hg I
1 1 1 6
direct
0.0000 0.0000 0.0000
0.3336 0.6664 0.0000
0.6669 0.3331 0.5000
0.0361 0.6749 0.7623
0.0366 0.3616 0.2376
0.3243 0.3611 0.7616
0.3251 0.9639 0.2377
0.6384 0.9634 0.7624
0.6389 0.6757 0.2384
```

Output
As for the density of states at the Fermi level: 4.1 states/eV per cell. The space group is C2 (5). Its energy relative to the elements, uncorrected is -753 meV per atom.

***

# 4
## NbHgI3 (GGA-PBE)

Data for a relaxed structure of NbHgI3.

Structure (POSCAR):
```
NbHgI3
1.0
9.4851 0.0000 0.0000
0.0000 4.2172 0.0000
-3.7163 0.0000 10.5956
Nb Hg I
2 2 6
direct
0.1503 0.2500 0.1100
0.8497 0.7500 0.8900
0.2824 0.7500 0.6613
0.7176 0.2500 0.3387
0.0315 0.2500 0.8382
0.3091 0.2500 0.3634
0.3428 0.7500 0.0789
0.6572 0.2500 0.9211
0.6909 0.7500 0.6366
0.9685 0.7500 0.1618
```

Output
As for the density of states at the Fermi level: 0.6 states/eV per cell. The space group is P2_1/m (11). Its energy relative to the elements, uncorrected is -241 meV per atom. The energy above the most stable polymorph in this dataset comes out at 0.000 eV/atom.